No. 1
DFT (PBE-GGA) results for crystalline EuPuZnSi at its relaxed geometry.

The space group is F-43m (No. 216) and the conventional cell measures 7.210, 7.210 and 7.210 Å, with angles of 90.00, 90.00 and 90.00 degrees. Symmetry generates all atoms from Eu at (0.000, 0.000, 0.000), Pu at (0.000, 0.000, 0.500), Zn at (0.250, 0.250, 0.250) and Si at (0.250, 0.250, 0.750).

The calculation puts the spin magnetization at 4.4 Bohr magnetons per cell. Its calculated total energy is -8.05 eV/atom.

No. 2
DFT (PBE-GGA) results for crystalline AlGeP at its relaxed geometry.

The space group is P2_1/c (No. 14) and the conventional cell measures 5.984, 6.862 and 5.818 Å, with angles of 90.00, 97.86 and 90.00 degrees. Symmetry generates all atoms from Al at (0.200, 0.065, 0.194), Ge at (0.370, 0.637, 0.084) and P at (0.158, 0.091, 0.780).

The calculation puts the spin magnetization at 0.0 Bohr magnetons per cell. Its calculated total energy is -4.65 eV/atom. As for the calculated formation energy: -0.060 eV per atom. Its energy above the most stable polymorph in this dataset is 287 meV per atom.

No. 3
DFT (PBE-GGA) results for crystalline La2TlHgRh at its relaxed geometry.

The space group is P4/mmm (No. 123) and the conventional cell measures 5.412, 5.412 and 5.300 Å, with angles of 90.00, 90.00 and 90.00 degrees. Symmetry generates all atoms from La at (0.000, 0.500, 0.000), Tl at (0.000, 0.000, 0.500), Hg at (0.500, 0.500, 0.500) and Rh at (0.500, 0.500, 0.000).

The calculation puts the spin magnetization at 0.0 Bohr magnetons per cell. Its calculated total energy is -4.40 eV/atom. As for the calculated formation energy: -0.426 eV per atom. Its energy above the most stable polymorph in this dataset is 132 meV per atom.

No. 4
DFT (PBE-GGA) results for crystalline SiHg2Pb at its relaxed geometry.

The space group is I-42d (No. 122) and the conventional cell measures 8.120, 8.120 and 6.141 Å, with angles of 90.00, 90.00 and 90.00 degrees. Symmetry generates all atoms from Si at (0.000, 0.000, 0.000), Hg at (0.200, 0.250, 0.125) and Pb at (0.000, 0.000, 0.500).

The calculation puts the spin magnetization at 0.0 Bohr magnetons per cell. Its calculated total energy is -2.13 eV/atom. Its energy above the most stable polymorph in this dataset is 41 meV per atom.

No. 5
DFT (PBE-GGA) results for crystalline CeSmHo2Er5 at its relaxed geometry.

The space group is Cmc2_1 (No. 36) and the conventional cell measures 5.653, 21.319 and 9.524 Å, with angles of 90.00, 90.00 and 90.00 degrees. Symmetry generates all atoms from Ce at (0.000, 0.194, 0.000), Sm at (0.000, 0.403, 0.402), Ho at (0.000, 0.113, 0.300), Ho at (0.000, 0.136, 0.683), Er at (0.000, 0.013, 0.993), Er at (0.000, 0.266, 0.312), Er at (0.000, 0.307, 0.694), Er at (0.000, 0.394, 0.019) and Er at (0.000, 0.471, 0.723).

The calculation puts the spin magnetization at 2.9 Bohr magnetons per cell. Its calculated total energy is -4.56 eV/atom. As for the calculated formation energy: 0.176 eV per atom.

No. 6
DFT (PBE-GGA) results for crystalline SeBr at its relaxed geometry.

The space group is P-3m1 (No. 164) and the conventional cell measures 3.7516, 3.7516 and 9.4102 Å, with angles of 90.00, 90.00 and 120.00 degrees. Symmetry generates all atoms from Se at (0.3333, 0.6667, 0.0857) and Br at (0.3333, 0.6667, 0.6979).

The calculation puts the spin magnetization at 0.0 Bohr magnetons per cell. Its calculated total energy is -2.38 eV/atom.

No. 7
DFT (PBE-GGA) results for crystalline TiNb4W at its relaxed geometry.

The space group is P2_1/m (No. 11) and the conventional cell measures 2.785, 8.146 and 9.389 Å, with angles of 90.00, 90.11 and 90.00 degrees. Symmetry generates all atoms from Ti at (0.014, 0.250, 0.126), Nb at (0.352, 0.578, 0.624), Nb at (0.369, 0.580, 0.126) and W at (0.006, 0.250, 0.624).

The calculation puts the spin magnetization at 0.2 Bohr magnetons per cell. Its calculated total energy is -10.11 eV/atom. As for the calculated formation energy: 0.080 eV per atom. Its energy above the most stable polymorph in this dataset is 0 meV per atom.

No. 8
DFT (PBE-GGA) results for crystalline CaS8Br2 at its relaxed geometry.

The space group is C2/m (No. 12) and the conventional cell measures 14.984, 6.182 and 8.761 Å, with angles of 90.00, 124.37 and 90.00 degrees. Symmetry generates all atoms from Ca at (0.000, 0.000, 0.000), S at (0.040, 0.500, 0.804), S at (0.087, 0.263, 0.333), S at (0.198, 0.500, 0.354) and Br at (0.123, 0.000, 0.851).

The calculation puts the spin magnetization at 0.0 Bohr magnetons per cell. Its calculated total energy is -3.67 eV/atom.